Compound: Tb3Si2Ni3
Source: Alexandria via LeMat-Bulk
Functional: GGA-PBE
Structure: relaxed Values from VASP.

Geometry as Quantum ESPRESSO input:
```
&SYSTEM
  ibrav = 0, nat = 16, ntyp = 3
/
ATOMIC_SPECIES
Tb 158.93 Tb.upf
Si 28.09 Si.upf
Ni 58.69 Ni.upf
CELL_PARAMETERS angstrom
2.049 -5.051 0.000
2.049 5.051 0.000
0.000 0.000 14.093
ATOMIC_POSITIONS crystal
Tb 0.083 0.917 0.605
Tb 0.083 0.917 0.895
Tb 0.377 0.623 0.750
Tb 0.623 0.377 0.250
Tb 0.917 0.083 0.105
Tb 0.917 0.083 0.395
Si 0.207 0.793 0.100
Si 0.207 0.793 0.400
Si 0.793 0.207 0.600
Si 0.793 0.207 0.900
Ni 0.319 0.681 0.250
Ni 0.364 0.636 0.535
Ni 0.364 0.636 0.965
Ni 0.636 0.364 0.035
Ni 0.636 0.364 0.465
Ni 0.681 0.319 0.750
```

- spin magnetization (μB per atom) = 0.00
- formation energy from raw total energies (eV per formula unit) = -5.5
- crystal system = orthorhombic
- excess energy over the best structure of this formula in the dataset (meV/atom) = 24
- energy (eV/atom) = -5.94

Compound: Tb3Si3Ni
Source: Alexandria via LeMat-Bulk
Functional: GGA-PBE
Structure: relaxed Values from VASP.

Geometry as Quantum ESPRESSO input:
```
&SYSTEM
  ibrav = 0, nat = 14, ntyp = 3
/
ATOMIC_SPECIES
Tb 158.93 Tb.upf
Si 28.09 Si.upf
Ni 58.69 Ni.upf
CELL_PARAMETERS angstrom
5.208 -2.108 0.000
5.208 2.108 0.000
-4.810 0.000 12.748
ATOMIC_POSITIONS crystal
Tb 0.031 0.031 0.381
Tb 0.101 0.101 0.921
Tb 0.249 0.249 0.228
Tb 0.751 0.751 0.772
Tb 0.899 0.899 0.079
Tb 0.969 0.969 0.619
Si 0.361 0.361 0.458
Si 0.387 0.387 0.924
Si 0.451 0.451 0.764
Si 0.549 0.549 0.236
Si 0.613 0.613 0.076
Si 0.639 0.639 0.542
Ni 0.252 0.252 0.598
Ni 0.748 0.748 0.402
```

- spin magnetization (μB per atom) = 0.00
- formation energy from raw total energies (eV per formula unit) = -5.7
- crystal system = monoclinic
- excess energy over the best structure of this formula in the dataset (meV/atom) = 0
- energy (eV/atom) = -5.95

Compound: TbSiNi11
Source: Alexandria via LeMat-Bulk
Functional: GGA-PBE
Structure: relaxed Values from VASP.

Geometry as Quantum ESPRESSO input:
```
&SYSTEM
  ibrav = 0, nat = 13, ntyp = 3
/
ATOMIC_SPECIES
Tb 158.93 Tb.upf
Si 28.09 Si.upf
Ni 58.69 Ni.upf
CELL_PARAMETERS angstrom
2.338 -5.789 0.000
2.338 5.789 0.000
-2.168 0.000 5.817
ATOMIC_POSITIONS crystal
Tb 0.000 0.000 0.000
Si 0.500 0.500 0.500
Ni 0.000 0.000 0.500
Ni 0.000 0.500 0.000
Ni 0.010 0.656 0.646
Ni 0.285 0.508 0.773
Ni 0.344 0.990 0.354
Ni 0.492 0.715 0.227
Ni 0.500 0.000 0.000
Ni 0.508 0.285 0.773
Ni 0.656 0.010 0.646
Ni 0.715 0.492 0.227
Ni 0.990 0.344 0.354
```

- spin magnetization (μB per atom) = 0.19
- formation energy from raw total energies (eV per formula unit) = -3.5
- crystal system = monoclinic
- energy (eV/atom) = -5.93

Compound: TbSi2Ni10
Source: Alexandria via LeMat-Bulk
Functional: GGA-PBE
Structure: relaxed Values from VASP.

Geometry as Quantum ESPRESSO input:
```
&SYSTEM
  ibrav = 0, nat = 13, ntyp = 3
/
ATOMIC_SPECIES
Tb 158.93 Tb.upf
Si 28.09 Si.upf
Ni 58.69 Ni.upf
CELL_PARAMETERS angstrom
-2.369 4.044 4.198
2.369 -4.044 4.198
2.369 4.044 -4.198
ATOMIC_POSITIONS crystal
Tb 0.000 0.000 0.000
Si 0.345 0.345 0.000
Si 0.655 0.655 0.000
Ni 0.000 0.000 0.500
Ni 0.000 0.500 0.000
Ni 0.226 0.726 0.500
Ni 0.256 0.500 0.756
Ni 0.350 0.000 0.350
Ni 0.500 0.000 0.000
Ni 0.500 0.500 0.500
Ni 0.650 0.000 0.650
Ni 0.744 0.500 0.244
Ni 0.774 0.274 0.500
```

- spin magnetization (μB per atom) = 0.06
- formation energy from raw total energies (eV per formula unit) = -3.6
- crystal system = orthorhombic
- excess energy over the best structure of this formula in the dataset (meV/atom) = 159
- energy (eV/atom) = -5.92

Compound: TbSi3Ni9
Source: Alexandria via LeMat-Bulk
Functional: GGA-PBE
Structure: relaxed Values from VASP.

Geometry as Quantum ESPRESSO input:
```
&SYSTEM
  ibrav = 0, nat = 13, ntyp = 3
/
ATOMIC_SPECIES
Tb 158.93 Tb.upf
Si 28.09 Si.upf
Ni 58.69 Ni.upf
CELL_PARAMETERS angstrom
2.394 -5.796 0.000
2.394 5.796 0.000
-2.205 0.000 5.692
ATOMIC_POSITIONS crystal
Tb 0.000 0.000 0.000
Si 0.000 0.500 0.000
Si 0.500 0.000 0.000
Si 0.500 0.500 0.500
Ni 0.000 0.000 0.500
Ni 0.020 0.665 0.657
Ni 0.285 0.512 0.776
Ni 0.335 0.980 0.343
Ni 0.488 0.715 0.224
Ni 0.512 0.285 0.776
Ni 0.665 0.020 0.657
Ni 0.715 0.488 0.224
Ni 0.980 0.335 0.343
```

- spin magnetization (μB per atom) = 0.00
- formation energy from raw total energies (eV per formula unit) = -6.4
- crystal system = monoclinic
- energy (eV/atom) = -6.10

Compound: TbSiNi
Source: Alexandria via LeMat-Bulk
Functional: GGA-PBE
Structure: relaxed Values from VASP.

Geometry as Quantum ESPRESSO input:
```
&SYSTEM
  ibrav = 0, nat = 12, ntyp = 3
/
ATOMIC_SPECIES
Tb 158.93 Tb.upf
Si 28.09 Si.upf
Ni 58.69 Ni.upf
CELL_PARAMETERS angstrom
6.922 0.000 0.000
0.000 4.184 0.000
0.000 0.000 7.149
ATOMIC_POSITIONS crystal
Tb 0.011 0.250 0.200
Tb 0.489 0.750 0.700
Tb 0.511 0.250 0.300
Tb 0.989 0.750 0.800
Si 0.190 0.250 0.588
Si 0.310 0.750 0.088
Si 0.690 0.250 0.912
Si 0.810 0.750 0.412
Ni 0.186 0.750 0.417
Ni 0.314 0.250 0.917
Ni 0.686 0.750 0.083
Ni 0.814 0.250 0.583
```

- spin magnetization (μB per atom) = 0.00
- formation energy from raw total energies (eV per formula unit) = -2.4
- crystal system = orthorhombic
- energy (eV/atom) = -6.08

Compound: Tb3Si4Ni7
Source: Alexandria via LeMat-Bulk
Functional: GGA-PBE
Structure: relaxed Values from VASP.

Geometry as Quantum ESPRESSO input:
```
&SYSTEM
  ibrav = 0, nat = 14, ntyp = 3
/
ATOMIC_SPECIES
Tb 158.93 Tb.upf
Si 28.09 Si.upf
Ni 58.69 Ni.upf
CELL_PARAMETERS angstrom
7.401 -1.938 0.000
7.401 1.938 0.000
-5.368 0.000 7.271
ATOMIC_POSITIONS crystal
Tb 0.000 0.000 0.000
Tb 0.323 0.323 0.327
Tb 0.677 0.677 0.673
Si 0.112 0.112 0.828
Si 0.336 0.336 0.719
Si 0.664 0.664 0.281
Si 0.888 0.888 0.172
Ni 0.000 0.000 0.500
Ni 0.164 0.164 0.422
Ni 0.311 0.311 0.971
Ni 0.494 0.494 0.723
Ni 0.506 0.506 0.277
Ni 0.689 0.689 0.029
Ni 0.836 0.836 0.578
```

- spin magnetization (μB per atom) = 0.00
- formation energy from raw total energies (eV per formula unit) = -9.6
- crystal system = monoclinic
- energy (eV/atom) = -6.12

Compound: TbSiNi
Source: Alexandria via LeMat-Bulk
Functional: GGA-PBE
Structure: relaxed Values from VASP.

Geometry as Quantum ESPRESSO input:
```
&SYSTEM
  ibrav = 0, nat = 3, ntyp = 3
/
ATOMIC_SPECIES
Tb 158.93 Tb.upf
Si 28.09 Si.upf
Ni 58.69 Ni.upf
CELL_PARAMETERS angstrom
4.052 0.000 0.000
-2.026 3.509 0.000
0.000 0.000 3.838
ATOMIC_POSITIONS crystal
Tb 0.000 0.000 0.000
Si 0.667 0.333 0.500
Ni 0.333 0.667 0.500
```

- spin magnetization (μB per atom) = 0.00
- formation energy from raw total energies (eV per formula unit) = -2.3
- crystal system = hexagonal
- energy (eV/atom) = -6.05